The following is a GGA-PBE calculation of PaCuH8Pd2 after structural relaxation, from Alexandria.

Cell lengths 4.850, 4.850, 6.201 Å; angles 90.00, 90.00, 120.00 degrees
Sites, in units of the cell vectors:
1 Pa 0.000 0.000 0.500
2 Cu 0.000 0.000 0.000
3 H 0.854 0.146 0.184
4 H 0.854 0.707 0.184
5 H 0.293 0.146 0.184
6 H 0.707 0.854 0.816
7 H 0.333 0.667 0.404
8 H 0.667 0.333 0.596
9 H 0.146 0.854 0.816
10 H 0.146 0.293 0.816
11 Pd 0.667 0.333 0.329
12 Pd 0.333 0.667 0.671

Properties
For the density, the calculation gives 6.8 Mg/m³. The energy is -4.2119 eV per atom. The calculation puts the density of states at the Fermi level at 4.78 states/eV/cell. Its crystal system is trigonal.